1.
La10C4I15: PBEsol geometry, meta-GGA SCAN.

Calculated values
total DFT energy (no corrections): -36.692 eV per atom
uncorrected formation energy: -1.431 eV/atom
total moment: 0.0 Bohr magnetons per cell
Fermi-level density of states: 4.3 states/eV/cell

a b c (Å): 9.7077 10.5752 11.6988
angles (deg): 70.24 65.55 70.93
Element x y z (fractional)
1 La 0.0219 0.1121 0.2599
2 La 0.0767 0.1845 0.8931
3 La 0.1632 0.4322 0.0446
4 La 0.2454 0.5383 0.6544
5 La 0.3231 0.7489 0.8345
6 La 0.6769 0.2511 0.1655
7 La 0.7546 0.4617 0.3456
8 La 0.8368 0.5678 0.9554
9 La 0.9233 0.8155 0.1069
10 La 0.9781 0.8879 0.7401
11 C 0.0440 0.7011 0.9379
12 C 0.1188 0.6382 0.8330
13 C 0.8812 0.3618 0.1670
14 C 0.9560 0.2989 0.0621
15 I 0.0596 0.5534 0.2982
16 I 0.1379 0.8136 0.4625
17 I 0.2351 0.9055 0.0636
18 I 0.2623 0.0349 0.6398
19 I 0.3396 0.1637 0.2217
20 I 0.3978 0.2644 0.8220
21 I 0.4438 0.3679 0.4141
22 I 0.5000 0.5000 0.0000
23 I 0.5562 0.6321 0.5859
24 I 0.6022 0.7356 0.1780
25 I 0.6604 0.8363 0.7783
26 I 0.7377 0.9651 0.3602
27 I 0.7649 0.0945 0.9364
28 I 0.8621 0.1864 0.5375
29 I 0.9404 0.4466 0.7018

2.
La4C2I5: PBEsol geometry, meta-GGA SCAN.

Calculated values
total DFT energy (no corrections): -35.545 eV per atom
uncorrected formation energy: -1.334 eV/atom
total moment: 0.0 Bohr magnetons per cell
Fermi-level density of states: 1.8 states/eV/cell

a b c (Å): 10.1927 10.1927 8.8139
angles (deg): 103.44 103.44 22.93
Element x y z (fractional)
1 La 0.0002 0.0002 0.1929
2 La 0.9998 0.9998 0.8071
3 La 0.3448 0.3448 0.9142
4 La 0.6552 0.6552 0.0858
5 C 0.4639 0.4639 0.9808
6 C 0.5361 0.5361 0.0192
7 I 0.1633 0.1633 0.3660
8 I 0.1659 0.1659 0.8077
9 I 0.5000 0.5000 0.5000
10 I 0.8341 0.8341 0.1923
11 I 0.8367 0.8367 0.6340

3.
La4CI6N: PBEsol geometry, meta-GGA SCAN.

Calculated values
total DFT energy (no corrections): -35.997 eV per atom
uncorrected formation energy: -1.642 eV/atom
total moment: 0.0 Bohr magnetons per cell

a b c (Å): 13.9607 13.9607 9.6742
angles (deg): 90.00 90.00 90.00
Element x y z (fractional)
1 La 0.0901 0.0901 0.1939
2 La 0.0901 0.0901 0.8061
3 La 0.0922 0.9078 0.5000
4 La 0.1551 0.8449 0.0000
5 La 0.3449 0.3449 0.5000
6 La 0.4078 0.4078 0.0000
7 La 0.4099 0.5901 0.3061
8 La 0.4099 0.5901 0.6939
9 La 0.5901 0.4099 0.3061
10 La 0.5901 0.4099 0.6939
11 La 0.5922 0.5922 0.0000
12 La 0.6551 0.6551 0.5000
13 La 0.8449 0.1551 0.0000
14 La 0.9078 0.0922 0.5000
15 La 0.9099 0.9099 0.1939
16 La 0.9099 0.9099 0.8061
17 C 0.0360 0.9640 0.0000
18 C 0.4640 0.4640 0.5000
19 C 0.5360 0.5360 0.5000
20 C 0.9640 0.0360 0.0000
21 I 0.0519 0.7345 0.2510
22 I 0.0519 0.7345 0.7490
23 I 0.1691 0.1691 0.5000
24 I 0.2245 0.2245 0.0000
25 I 0.2345 0.4481 0.2490
26 I 0.2345 0.4481 0.7510
27 I 0.2655 0.9481 0.2510
28 I 0.2655 0.9481 0.7490
29 I 0.2755 0.7245 0.5000
30 I 0.3309 0.6691 0.0000
31 I 0.4481 0.2345 0.2490
32 I 0.4481 0.2345 0.7510
33 I 0.5519 0.7655 0.2490
34 I 0.5519 0.7655 0.7510
35 I 0.6691 0.3309 0.0000
36 I 0.7245 0.2755 0.5000
37 I 0.7345 0.0519 0.2510
38 I 0.7345 0.0519 0.7490
39 I 0.7655 0.5519 0.2490
40 I 0.7655 0.5519 0.7510
41 I 0.7755 0.7755 0.0000
42 I 0.8309 0.8309 0.5000
43 I 0.9481 0.2655 0.2510
44 I 0.9481 0.2655 0.7490
45 N 0.0000 0.0000 0.3476
46 N 0.0000 0.0000 0.6524
47 N 0.5000 0.5000 0.1524
48 N 0.5000 0.5000 0.8476